Record 1
Compound: AlAs2
Source: the Alexandria database
Functional: GGA-PBE
Structure: optimized geometry

Properties
* symmetry: I4/mcm, No. 140
* crystal system: tetragonal

Cell and atoms, written as extended XYZ:
```
6
Lattice="-2.8311 2.8311 3.5626 2.8311 -2.8311 3.5626 2.8311 2.8311 -3.5626" Properties=species:S:1:pos:R:3 pbc="T T T"
Al 0.0000 0.0000 1.7813
Al 0.0000 0.0000 5.3439
As 1.9349 -0.8961 3.5626
As 0.8961 3.7272 0.0000
As 1.9349 0.8961 0.0000
As 0.8961 1.9349 3.5626
```



Record 2
Compound: Al4As
Source: the Alexandria database
Functional: GGA-PBE
Structure: optimized geometry

Properties
* symmetry: I4/m, No. 87
* crystal system: tetragonal

Cell and atoms, written as extended XYZ:
```
5
Lattice="-0.3455 -4.9632 -0.4475 -0.5584 2.9608 3.9844 -3.9793 1.3919 -2.6798" Properties=species:S:1:pos:R:3 pbc="T T T"
Al -3.5656 1.9029 0.1661
Al -2.2548 -0.0319 1.8565
Al -1.3177 -2.5135 0.6910
Al -2.6285 -0.5786 -0.9994
As 0.0000 0.0000 0.0000
```



Record 3
Compound: AlAs2
Source: the Alexandria database
Functional: GGA-PBE
Structure: optimized geometry

Properties
* symmetry: C2/m, No. 12
* crystal system: monoclinic

Cell and atoms, written as extended XYZ:
```
6
Lattice="3.4746 -5.0509 2.1684 5.4968 -2.8489 1.9888 0.5058 0.1451 7.4708" Properties=species:S:1:pos:R:3 pbc="T T T"
Al 2.6170 -1.8937 6.2464
Al 6.8601 -5.8610 5.3816
As 7.9885 -6.4957 10.3024
As 5.6761 -4.6202 7.2621
As 3.8010 -3.1345 4.3659
As 1.4886 -1.2589 1.3256
```



Record 4
Compound: AlAs2
Source: the Alexandria database
Functional: GGA-PBE
Structure: optimized geometry

Properties
* symmetry: Pa-3, No. 205
* crystal system: cubic

Cell and atoms, written as extended XYZ:
```
12
Lattice="-2.7019 5.6177 -0.6005 -1.8303 -0.2406 5.9843 5.3451 2.7573 1.7456" Properties=species:S:1:pos:R:3 pbc="T T T"
As -0.6920 4.3586 3.9693
As 1.5049 3.7759 3.1601
As 1.3398 2.0963 6.3189
As -0.5268 6.0382 0.8104
As -0.6596 2.4640 0.6262
As 1.4725 5.6705 6.5032
As 1.6376 7.3501 3.3443
As -0.8247 0.7844 3.7850
Al 0.0000 0.0000 0.0000
Al -2.2661 2.6886 2.6919
Al 1.3216 4.1875 0.5725
Al 1.7574 1.2584 3.8650
```



Record 5
Compound: Al8As
Source: the Alexandria database
Functional: GGA-PBE
Structure: optimized geometry

Properties
* symmetry: I4/mmm, No. 139
* crystal system: tetragonal

Cell and atoms, written as extended XYZ:
```
9
Lattice="-0.0127 3.8743 5.1385 -3.8107 -2.7141 -4.4189 1.1298 -5.4171 3.2853" Properties=species:S:1:pos:R:3 pbc="T T T"
Al -1.2652 1.7015 1.9865
Al -2.5581 -0.5412 -1.2669
Al -1.7841 -5.4112 -0.7544
Al -0.5157 -3.1904 2.4043
Al 0.7434 -1.0267 5.6059
Al -2.1778 -1.0664 1.6006
Al -0.8968 -2.7200 -0.3792
Al 0.3737 -0.5161 2.8178
As 0.0000 0.0000 0.0000
```



Record 6
Compound: Al2As
Source: the Alexandria database
Functional: GGA-PBE
Structure: optimized geometry

Properties
* symmetry: Fd-3m, No. 227
* crystal system: cubic

Cell and atoms, written as extended XYZ:
```
6
Lattice="1.3396 -4.1272 -3.1434 0.0101 -4.9802 1.9766 -3.7401 -3.5073 -1.5555" Properties=species:S:1:pos:R:3 pbc="T T T"
Al 0.3710 -3.6404 -1.9120
Al -0.2938 -4.0669 0.6480
Al -2.1689 -3.3305 -1.1180
Al -0.2988 -1.5768 -0.3403
As -1.1952 -6.3073 -1.3612
As -1.7929 -9.4610 -2.0417
```



Record 7
Compound: Al2As
Source: the Alexandria database
Functional: GGA-PBE
Structure: optimized geometry

Properties
* symmetry: Cmcm, No. 63
* crystal system: orthorhombic

Cell and atoms, written as extended XYZ:
```
6
Lattice="0.3431 0.6707 -6.1649 -3.7987 -0.8525 4.8391 -0.4719 5.1078 0.5294" Properties=species:S:1:pos:R:3 pbc="T T T"
Al -1.5151 3.9483 -1.7713
Al -0.1875 4.4365 -5.2986
Al -3.7400 0.4894 4.5021
Al -2.4124 0.9776 0.9749
As -2.8750 3.4481 1.8418
As -1.0525 1.4778 -2.6382
```



Record 8
Compound: AlAs2
Source: the Alexandria database
Functional: GGA-PBE
Structure: optimized geometry

Properties
* symmetry: Cmcm, No. 63
* crystal system: orthorhombic

Cell and atoms, written as extended XYZ:
```
6
Lattice="1.5378 -7.7212 0.0000 1.5378 7.7212 0.0000 0.0000 0.0000 4.7858" Properties=species:S:1:pos:R:3 pbc="T T T"
Al 1.5378 -1.4429 3.5894
Al 1.5378 1.4429 1.1965
As 1.5378 -6.8726 3.5894
As 1.5378 4.0795 3.5894
As 1.5378 -4.0795 1.1965
As 1.5378 6.8726 1.1965
```



Record 9
Compound: Al2As3
Source: the Alexandria database
Functional: GGA-PBE
Structure: optimized geometry

Properties
* symmetry: Fdd2, No. 43
* crystal system: orthorhombic

Cell and atoms, written as extended XYZ:
```
10
Lattice="0.0000 5.3111 5.8200 3.2081 0.0000 5.8200 3.2081 5.3111 0.0000" Properties=species:S:1:pos:R:3 pbc="T T T"
Al 3.7408 3.8470 6.4079
Al 3.7408 6.7752 5.2321
Al 5.3449 6.5026 8.1421
Al 5.3449 9.4307 9.3179
As 2.8707 6.0073 7.7824
As 2.8707 4.6149 3.8576
As 4.4747 8.6628 6.7677
As 4.4747 7.2705 10.6924
As 6.0253 5.3111 5.8200
As 1.2132 2.6556 2.9100
```



Record 10
Compound: Al2As
Source: the Alexandria database
Functional: GGA-PBE
Structure: optimized geometry

Properties
* symmetry: Pnnm, No. 58
* crystal system: orthorhombic

Cell and atoms, written as extended XYZ:
```
6
Lattice="3.7814 0.0000 0.0000 0.0000 5.3735 0.0000 0.0000 0.0000 6.3671" Properties=species:S:1:pos:R:3 pbc="T T T"
Al 0.0000 1.0442 3.9576
Al 0.0000 4.3293 2.4095
Al 1.8907 3.7310 5.5931
Al 1.8907 1.6425 0.7740
As 0.0000 0.0000 0.0000
As 1.8907 2.6868 3.1836
```



Record 11
Compound: Al2As
Source: the Alexandria database
Functional: GGA-PBE
Structure: optimized geometry

Properties
* symmetry: I4/mmm, No. 139
* crystal system: tetragonal

Cell and atoms, written as extended XYZ:
```
3
Lattice="-5.2353 0.4042 2.5159 -2.6431 -2.5478 4.5194 4.7035 2.6501 -2.1809" Properties=species:S:1:pos:R:3 pbc="T T T"
As 0.0000 0.0000 0.0000
Al -2.6268 -0.7147 2.3456
Al -5.2517 -1.4289 4.6897
```



Record 12
Compound: Al3As5
Source: the Alexandria database
Functional: GGA-PBE
Structure: optimized geometry

Properties
* symmetry: Cmmm, No. 65
* crystal system: orthorhombic

Cell and atoms, written as extended XYZ:
```
8
Lattice="-4.0203 3.5601 2.1987 -0.1474 -5.6532 1.3006 2.9251 0.8410 3.9868" Properties=species:S:1:pos:R:3 pbc="T T T"
Al -2.0839 -1.0465 1.7497
Al -1.5961 1.6929 3.9691
Al 0.3535 -2.9450 3.5170
As 0.0000 0.0000 0.0000
As -0.0737 -2.8266 0.6503
As -2.0102 1.7801 1.0994
As 0.4088 -0.1087 2.8781
As -1.6515 -1.1434 4.6080
```



Values for formation enthalpy at 0 K, eV per atom, ordered as above
0.026, 0.079, 0.036, -0.142, 0.042, 0.286, -0.017, 0.167, 0.007, 0.092, 0.092, 0.188
Values for DOS at the Fermi energy, states/eV per atom, ordered as above
0.3942, 0.3285, 0.1043, 0.4501, 0.4699, 0.4444, 0.3848, 0.3036, 0.5592, 0.4858, 0.4048, 0.3125
Values for final energy, eV/atom, ordered as above
-4.3212, -3.8447, -4.3116, -4.4888, -3.8012, -3.7590, -4.0618, -4.1798, -4.2796, -3.9525, -3.9525, -4.1215